No. 1
CsUNi2S4 after structural relaxation. Source: Alexandria, functional PBE-GGA.

Lattice parameters (Å, degrees): 4.8342 4.8610 9.1458 77.39 77.29 73.01
Last column: nearest neighbours and their distance in Å.
Atoms (fractional coordinates):
1 Cs 0.0000 0.0000 0.0000  8 S 3.60-3.69
2 U 0.6583 0.3425 0.4997  6 S 2.55-2.74, 2 Ni 2.72-2.73
3 Ni 0.0993 0.6188 0.6106  3 S 2.23-2.36
4 Ni 0.3771 0.8990 0.3901  3 S 2.23-2.37
5 S 0.1751 0.1254 0.5907  2 Ni 2.23-2.36
6 S 0.4492 0.4624 0.7670  1 Ni 2.31, 1 U 2.56
7 S 0.5388 0.5517 0.2327  1 Ni 2.31, 1 U 2.55
8 S 0.8747 0.8260 0.4100  2 Ni 2.23-2.37

## Properties
For the volume, the calculation gives 197.7 Å³ per cell. The calculation puts the total energy at -46.782 eV for the cell shown. For the total magnetic moment, the calculation gives 0.31 μB/f.u. The energy relative to the elements, uncorrected comes out at -6.6 eV per formula unit. As for the space group: P1.



No. 2
Sr3Er3NpS8 after structural relaxation. Source: Alexandria, functional PBE-GGA.

Lattice parameters (Å, degrees): 8.2463 8.2463 8.2463 57.76 57.76 57.76
Last column: nearest neighbours and their distance in Å.
Atoms (fractional coordinates):
1 Sr 0.0000 0.5000 0.5000  6 S 2.97-2.99
2 Sr 0.5000 0.0000 0.5000  6 S 2.97-2.99
3 Sr 0.5000 0.5000 0.0000  6 S 2.97-2.99
4 Er 0.0000 0.0000 0.5000  6 S 2.75-2.77
5 Er 0.0000 0.5000 0.0000  6 S 2.75-2.77
6 Er 0.5000 0.0000 0.0000  6 S 2.75-2.77
7 Np 0.5000 0.5000 0.5000  6 S 2.79
8 S 0.2363 0.7437 0.7437  2 Er 2.75, 1 Np 2.79, 2 Sr 2.99
9 S 0.2420 0.2420 0.2420  3 Er 2.77, 3 Sr 2.97
10 S 0.2563 0.2563 0.7637  2 Er 2.75, 1 Np 2.79, 2 Sr 2.99
11 S 0.2563 0.7637 0.2563  2 Er 2.75, 1 Np 2.79, 2 Sr 2.99
12 S 0.7437 0.2363 0.7437  2 Er 2.75, 1 Np 2.79, 2 Sr 2.99
13 S 0.7437 0.7437 0.2363  2 Er 2.75, 1 Np 2.79, 2 Sr 2.99
14 S 0.7580 0.7580 0.7580  3 Er 2.77, 3 Sr 2.97
15 S 0.7637 0.2563 0.2563  2 Er 2.75, 1 Np 2.79, 2 Sr 2.99

## Properties
For the volume, the calculation gives 376.1 Å³ per cell. The calculation puts the total energy at -93.751 eV for the cell shown. For the total magnetic moment, the calculation gives 4.37 μB/f.u. The energy relative to the elements, uncorrected comes out at -29.1 eV per formula unit. As for the space group: R-3m.



- The lowest total energy belongs to which entry?
  Sr3Er3NpS8